1.
The following is a PBEsol calculation of crystalline Cu2TeBr at its relaxed geometry, from Alexandria via LeMat-Bulk.

Properties
Its calculated total energy is -0.2685 Ry per atom. The formation energy from raw total energies is -0.1375 eV per atom. Its crystal system is orthorhombic. As for the density: 6.3 Mg/m³. The density of states at the Fermi level is 1.10 states/eV per cell.

Cell lengths 3.583, 3.809, 6.504 Å; angles 90.00, 90.00, 90.00 degrees
Atoms (fractional coordinates):
Te  0.000  0.000  0.605
Br  0.500  0.500  0.143
Cu  0.500  0.000  0.888
Cu  0.000  0.500  0.865


2.
The following is a PBEsol calculation of crystalline CuTeBr2 at its relaxed geometry, from Alexandria via LeMat-Bulk.

Properties
Its calculated total energy is -0.2229 Ry per atom. The formation energy from raw total energies is -0.1323 eV per atom. Its crystal system is orthorhombic. As for the density: 4.6 Mg/m³. The density of states at the Fermi level is 2.16 states/eV per cell.

Cell lengths 3.534, 5.564, 7.253 Å; angles 112.55, 104.10, 90.00 degrees
Atoms (fractional coordinates):
Br  0.919  0.919  0.838
Br  0.156  0.656  0.312
Cu  0.533  0.533  0.066
Te  0.892  0.392  0.784